Record 1
Below is a relaxed LaCd2Rh crystal, with properties calculated at the PBE-GGA level.

Summary:
Space-group type: No. 65
Volume: 23.3 A^3/atom
ΔH_f (0 K): -0.10 eV/atom
M_tot: 0.001 μB per cell
Fermi-level density of states: 1.67 states/eV/f.u.

a b c (Å): 5.5261 5.5261 3.5262
angles (deg): 90.00 90.00 119.96
Fractional coordinates of all 4 atoms:
La: 0.0000 0.0000 0.5000
Rh: 0.5000 0.5000 0.5000
Cd: 0.0000 0.5000 0.0000
Cd: 0.5000 0.0000 0.0000

Record 2
Below is a relaxed Ga4SnS7 crystal, with properties calculated at the PBE-GGA level.

Summary:
Formation energy (no corrections): -0.637 eV per atom
Space-group type: No. 31
Volume: 24.5 A^3/atom
M_tot: 0.000 μB per cell
Fermi-level density of states: 0.00 states/eV/f.u.

a b c (Å): 6.0596 6.4496 15.0302
angles (deg): 90.00 90.00 90.00
Fractional coordinates of all 24 atoms:
S: 0.4700 0.3228 0.3802
S: 0.4658 0.8326 0.2517
S: 0.9634 0.6695 0.3793
S: 0.9700 0.6772 0.8802
S: 0.4700 0.3228 0.6198
S: 0.9700 0.6772 0.1198
S: 0.4634 0.3305 0.8793
S: 0.9846 0.1486 0.5000
S: 0.4658 0.8326 0.7483
S: 0.9634 0.6695 0.6207
S: 0.4634 0.3305 0.1207
S: 0.4846 0.8514 0.0000
S: 0.9658 0.1674 0.2483
S: 0.9658 0.1674 0.7517
Ga: 0.0772 0.8200 0.7461
Ga: 0.0848 0.3416 0.6236
Ga: 0.0848 0.3416 0.3764
Ga: 0.5772 0.1800 0.2461
Ga: 0.0772 0.8200 0.2539
Ga: 0.5848 0.6584 0.8764
Ga: 0.5772 0.1800 0.7539
Ga: 0.5848 0.6584 0.1236
Sn: 0.5479 0.0237 0.5000
Sn: 0.0479 0.9763 0.0000

Record 3
Below is a relaxed Ca2LaTmHg4 crystal, with properties calculated at the PBE-GGA level.

Summary:
Space-group type: No. 166
Volume: 27.1 A^3/atom
ΔH_f (0 K): -0.53 eV/atom
M_tot: 0.000 μB per cell
Fermi-level density of states: 6.43 states/eV/f.u.

a b c (Å): 5.3377 5.3377 9.3167
angles (deg): 73.35 73.35 60.00
Fractional coordinates of all 8 atoms:
Hg: 0.6205 0.6205 0.1385
Hg: 0.1276 0.1276 0.6171
Hg: 0.8724 0.8724 0.3829
Hg: 0.3795 0.3795 0.8615
La: 0.0000 0.0000 0.0000
Ca: 0.7518 0.7518 0.7447
Ca: 0.2482 0.2482 0.2553
Tm: 0.5000 0.5000 0.5000

Record 4
Below is a relaxed Er2GaCu crystal, with properties calculated at the PBE-GGA level.

Summary:
Space-group type: No. 123
Volume: 21.3 A^3/atom
ΔH_f (0 K): -0.43 eV/atom
M_tot: 0.000 μB per cell
Fermi-level density of states: 2.68 states/eV/f.u.

a b c (Å): 3.4506 3.4506 7.1720
angles (deg): 90.00 90.00 90.00
Fractional coordinates of all 4 atoms:
Ga: 0.5000 0.5000 0.5000
Er: 0.0000 0.0000 0.7602
Er: 0.0000 0.0000 0.2398
Cu: 0.5000 0.5000 0.0000